Computed, not measured: a relaxed Nd3FeSi2Pt9 crystal at the PBE level of DFT.

a b c (Å): 6.401 6.401 8.845
angles (deg): 90.00 90.00 120.00
Sites, in units of the cell vectors:
Nd1 0.000 0.000 0.000
Nd2 0.333 0.667 0.691
Nd3 0.667 0.333 0.309
Fe1 0.000 0.000 0.500
Si1 0.333 0.667 0.184
Si2 0.667 0.333 0.816
Pt1 0.000 0.500 0.000
Pt2 0.143 0.287 0.281
Pt3 0.143 0.857 0.281
Pt4 0.287 0.143 0.719
Pt5 0.500 0.000 0.000
Pt6 0.500 0.500 0.000
Pt7 0.713 0.857 0.281
Pt8 0.857 0.143 0.719
Pt9 0.857 0.713 0.719

Output
* uncorrected energy: -6.5127 eV/atom
* formation energy (no corrections): -647 meV per atom
* symmetry: No. 164
* calculated volume: 20.9 Å³ per atom
* crystal system: trigonal

Computed, not measured: a relaxed NdPuFe4 crystal at the PBE level of DFT.

a b c (Å): 5.148 5.148 5.148
angles (deg): 60.00 60.00 60.00
Sites, in units of the cell vectors:
Nd1 0.000 0.000 0.000
Pu1 0.750 0.750 0.750
Fe1 0.376 0.376 0.376
Fe2 0.376 0.376 0.871
Fe3 0.376 0.871 0.376
Fe4 0.871 0.376 0.376

Output
* uncorrected energy: -8.6250 eV/atom
* symmetry: No. 216
* formation energy: 0.20 eV per atom
* calculated volume: 16.1 Å³ per atom
* crystal system: cubic

Computed, not measured: a relaxed NdPu2Fe2 crystal at the PBE level of DFT.

a b c (Å): 11.706 10.438 5.981
angles (deg): 86.47 62.87 30.66
Sites, in units of the cell vectors:
Nd1 0.125 0.125 0.125
Nd2 0.875 0.875 0.875
Pu1 0.236 0.236 0.514
Pu2 0.486 0.486 0.764
Pu3 0.514 0.514 0.236
Pu4 0.764 0.764 0.486
Fe1 0.182 0.568 0.182
Fe2 0.432 0.818 0.432
Fe3 0.568 0.182 0.568
Fe4 0.818 0.432 0.818

Output
* uncorrected energy: -9.8087 eV/atom
* symmetry: No. 70
* formation energy: 0.26 eV per atom
* calculated volume: 22.7 Å³ per atom
* crystal system: orthorhombic

Computed, not measured: a relaxed Nd3Pu2Fe4 crystal at the PBE level of DFT.

a b c (Å): 5.960 5.960 8.630
angles (deg): 103.68 103.68 39.81
Sites, in units of the cell vectors:
Nd1 0.000 0.000 0.000
Nd2 0.376 0.376 0.619
Nd3 0.624 0.624 0.381
Pu1 0.328 0.328 0.218
Pu2 0.672 0.672 0.782
Fe1 0.085 0.085 0.637
Fe2 0.265 0.265 0.910
Fe3 0.735 0.735 0.090
Fe4 0.915 0.915 0.363

Output
* uncorrected energy: -8.5815 eV/atom
* symmetry: No. 12
* formation energy: -0.05 eV per atom
* calculated volume: 21.1 Å³ per atom
* crystal system: monoclinic

no.,total magnetic moment (μB per cell)
1,3.2
2,11.8
3,16.9
4,6.0